1.
The following is a GGA-PBE calculation of a relaxed MgSc4Ni5 crystal, from Alexandria via LeMat-Bulk.

The value obtained for the total magnetic moment is 0.0 μB per formula unit. The formation energy comes out at -0.442 eV per atom. The value obtained for the volume is 15.60 Å³/atom. The value obtained for the total energy is -6.02 eV per atom.

Cell lengths 3.132, 3.132, 15.908 Å; angles 90.00, 90.00, 90.00 degrees
Positions (direct):
Ni1 0.500 0.500 0.099
Sc1 0.000 0.000 0.602
Sc2 0.000 0.000 0.398
Ni2 0.500 0.500 0.500
Ni3 0.500 0.500 0.297
Ni4 0.500 0.500 0.901
Sc3 0.000 0.000 0.806
Mg1 0.000 0.000 0.000
Ni5 0.500 0.500 0.703
Sc4 0.000 0.000 0.194

2.
The following is a GGA-PBE calculation of a relaxed RbCu2BiCl8 crystal, from Alexandria via LeMat-Bulk.

The value obtained for the total magnetic moment is 2.1 μB per formula unit. The value obtained for the volume is 26.94 Å³/atom. The uncorrected formation energy comes out at -813 meV per atom. The value obtained for the total energy is -3.13 eV per atom.

Cell lengths 6.564, 6.564, 8.824 Å; angles 111.84, 111.84, 90.00 degrees
Each line ends with the local moment (μB).
Positions (direct):
Cl1 0.072 0.951 0.670  0.12
Cl2 0.598 0.720 0.670  0.12
Cl3 0.165 0.603 0.885  0.10
Cl4 0.718 0.835 0.115  0.10
Cl5 0.397 0.281 0.115  0.10
Bi1 0.000 0.000 0.000  -0.01
Cu1 0.250 0.750 0.500  0.53
Cu2 0.500 0.500 0.000  0.48
Rb1 0.750 0.250 0.500  0.00
Cl6 0.049 0.402 0.330  0.12
Cl7 0.719 0.282 0.885  0.10
Cl8 0.280 0.928 0.330  0.12

3.
The following is a GGA-PBE calculation of a relaxed Ga3Co4Sn crystal, from Alexandria via LeMat-Bulk.

The value obtained for the total magnetic moment is 1.7 μB per formula unit. The formation energy comes out at -0.156 eV per atom. The value obtained for the volume is 12.90 Å³/atom. The value obtained for the total energy is -5.34 eV per atom.

Cell lengths 4.155, 4.155, 7.307 Å; angles 73.48, 73.48, 60.00 degrees
Each line ends with the local moment (μB).
Positions (direct):
Ga1 0.246 0.246 0.262  -0.02
Sn1 0.000 0.000 0.000  -0.02
Co1 0.620 0.620 0.141  0.60
Ga2 0.500 0.500 0.500  -0.03
Co2 0.127 0.127 0.619  0.35
Co3 0.380 0.380 0.859  0.60
Ga3 0.754 0.754 0.738  -0.02
Co4 0.873 0.873 0.381  0.35

4.
The following is a GGA-PBE calculation of a relaxed BaBi3As crystal, from Alexandria via LeMat-Bulk.

The value obtained for the total magnetic moment is 1.9 μB per formula unit. The formation energy comes out at 1.223 eV per atom. The value obtained for the volume is 52.34 Å³/atom. The value obtained for the total energy is -2.42 eV per atom.

Cell lengths 6.397, 6.397, 6.397 Å; angles 90.00, 90.00, 90.00 degrees
Each line ends with the local moment (μB).
Positions (direct):
Bi1 0.000 0.500 0.000  0.03
Ba1 0.000 0.000 0.000  0.03
As1 0.500 0.500 0.500  0.97
Bi2 0.500 0.000 0.000  -0.02
Bi3 0.000 0.000 0.500  -0.20

Look up the volume of the fourth one.
52.34 Å³/atom